(1)
Material: UTl2Pd8
Method: DFT, PBE-GGA
State: relaxed

```
UTl2Pd8
1.0
5.021 -0.136 -0.633
-0.646 4.904 -0.980
0.390 0.692 7.694
Pd U Tl
8 1 2
Cartesian
0.012 1.371 0.426 Pd
3.359 0.615 2.202 Pd
3.646 3.384 3.091 Pd
4.753 4.088 5.655 Pd
1.119 2.076 2.990 Pd
1.406 4.845 3.879 Pd
2.209 2.732 5.588 Pd
2.556 2.728 0.493 Pd
2.510 -0.068 -0.317 U
4.682 1.315 4.707 Tl
0.082 4.144 1.373 Tl
```

Output
crystal system: triclinic
space group: P-1


(2)
Material: Tl2VPd
Method: DFT, PBE-GGA
State: relaxed

```
Tl2VPd
1.0
-0.416 -3.304 3.466
-4.189 -2.257 0.678
-0.440 -4.646 -1.149
V Tl Pd
1 2 1
Cartesian
0.000 0.000 0.000 V
-3.784 -7.654 2.246 Tl
-1.261 -2.551 0.749 Tl
-2.523 -5.103 1.497 Pd
```

Output
ΔE to the lowest computed polymorph: 0 kJ/mol of formula units
crystal system: cubic
space group: Fm-3m


(3)
Material: Tl3VPd12
Method: DFT, PBE-GGA
State: relaxed

```
Tl3VPd12
1.0
4.016 0.000 0.000
0.000 4.016 0.000
0.000 0.000 16.290
Pd Tl V
12 3 1
Cartesian
2.008 0.000 10.243 Pd
0.000 2.008 14.474 Pd
2.008 0.000 14.474 Pd
0.000 2.008 6.046 Pd
0.000 2.008 1.815 Pd
0.000 2.008 10.243 Pd
2.008 0.000 1.815 Pd
2.008 2.008 8.145 Pd
2.008 2.008 3.917 Pd
2.008 2.008 12.373 Pd
2.008 2.008 0.000 Pd
2.008 0.000 6.046 Pd
0.000 0.000 12.293 Tl
0.000 0.000 8.145 Tl
0.000 0.000 3.997 Tl
0.000 0.000 0.000 V
```

Output
crystal system: tetragonal
space group: P4/mmm


| no. | formation energy from the elements (eV/atom) | E_tot (eV per cell) |
| --- | --- | --- |
| 1 | -0.2579 | -60.40 |
| 2 | 0.2597 | -18.01 |
| 3 | -0.2202 | -82.05 |